1.
Compound: AlTl2Cl
Source: Alexandria via LeMat-Bulk
Functional: PBEsol
Structure: relaxed

Cell lengths 3.3500, 3.3831, 9.9892 Å; angles 90.00, 90.00, 119.68 degrees
Last column: nearest neighbours and their distance in Å.
Positions (direct):
Al 0.0000 0.0000 0.5228  2 Cl 2.45
Tl 0.0000 0.0000 0.9948  8 Tl 3.31-3.38, 2 Cl 3.37
Tl 0.5000 0.0000 0.2804  2 Al 2.94
Cl 0.5000 0.0000 0.7020  2 Al 2.45

## Properties
energy above the lowest structure with this stoichiometry	0.000	eV per atom
electronic total energy	-3.042	eV per atom
calculated volume	24.6	Å³/atom
DOS(E_F)	1.46	states/eV/f.u.
symmetry	No. 35
formation energy (no corrections)	-202.4	meV per atom



2.
Compound: AlTl2Cl
Source: Alexandria via LeMat-Bulk
Functional: PBEsol
Structure: relaxed

Cell lengths 3.3096, 5.3852, 5.3852 Å; angles 90.10, 90.33, 90.33 degrees
Last column: nearest neighbours and their distance in Å.
Positions (direct):
Al 0.5000 0.0000 0.0000  8 Tl 3.15-3.17, 2 Al 3.31
Tl 0.0000 0.5000 0.0000  4 Cl 3.15-3.17, 4 Al 3.15-3.17, 2 Tl 3.31
Tl 0.0000 0.0000 0.5000  4 Al 3.15-3.17, 4 Cl 3.15-3.17, 2 Tl 3.31
Cl 0.5000 0.5000 0.5000  8 Tl 3.15-3.17, 2 Cl 3.31

## Properties
energy above the lowest structure with this stoichiometry	0.015	eV per atom
electronic total energy	-3.027	eV per atom
calculated volume	24.0	Å³/atom
DOS(E_F)	1.50	states/eV/f.u.
symmetry	No. 12
formation energy (no corrections)	-187.3	meV per atom



3.
Compound: AlTl2Cl
Source: Alexandria via LeMat-Bulk
Functional: PBEsol
Structure: relaxed

Cell lengths 4.3319, 4.3319, 6.2580 Å; angles 110.25, 110.25, 90.00 degrees
Last column: nearest neighbours and their distance in Å.
Positions (direct):
Al 0.5000 0.5000 0.0000  4 Tl 3.06
Cl 0.2500 0.7500 0.5000  4 Tl 3.06
Tl 0.7500 0.2500 0.5000  4 Cl 3.06
Tl 0.0000 0.0000 0.0000  4 Al 3.06

## Properties
energy above the lowest structure with this stoichiometry	0.108	eV per atom
electronic total energy	-2.935	eV per atom
calculated volume	25.6	Å³/atom
DOS(E_F)	1.24	states/eV/f.u.
symmetry	No. 119
formation energy (no corrections)	-94.7	meV per atom



4.
Compound: AlTlCl2
Source: Alexandria via LeMat-Bulk
Functional: PBEsol
Structure: relaxed

Cell lengths 3.6563, 5.1833, 5.1876 Å; angles 90.00, 90.00, 90.00 degrees
Last column: nearest neighbours and their distance in Å.
Positions (direct):
Al 0.5000 0.0000 0.5000  8 Cl 3.17
Tl 0.5000 0.5000 0.0000  8 Cl 3.17
Cl 0.0000 0.0000 0.0000  4 Tl 3.17, 4 Al 3.17
Cl 0.0000 0.5000 0.5000  4 Al 3.17, 4 Tl 3.17

## Properties
energy above the lowest structure with this stoichiometry	0.095	eV per atom
electronic total energy	-3.235	eV per atom
calculated volume	24.6	Å³/atom
symmetry	No. 123
formation energy (no corrections)	-550.7	meV per atom